1.
VASP calculation (PBE) on Sr2IrPd after structural relaxation.

Output
The calculation puts the formation energy at 93.8 meV/atom. Its total DFT energy (no corrections) is -4.261 eV/atom. For the density of states at the Fermi level, the calculation gives 2.2 states/eV/f.u.

a b c (Å): 8.041 8.041 6.298
angles (deg): 90.00 90.00 90.00
Space group I-42d (No. 122)
Inequivalent atoms, fractional coordinates:
Sr: 0.243 0.750 0.125 (multiplicity 8)
Ir: 0.000 0.000 0.000 (multiplicity 4)
Pd: 0.000 0.000 0.500 (multiplicity 4)



2.
VASP calculation (PBE) on Sr6IrPd after structural relaxation.

Output
The calculation puts the formation energy at -269.6 meV/atom. Its total DFT energy (no corrections) is -3.288 eV/atom. For the density of states at the Fermi level, the calculation gives 4.2 states/eV/f.u.

a b c (Å): 7.479 12.743 7.467
angles (deg): 90.00 107.45 90.00
Space group C2/m (No. 12)
Inequivalent atoms, fractional coordinates:
Sr: 0.239 0.159 0.245 (multiplicity 8)
Sr: 0.248 0.000 0.758 (multiplicity 4)
Ir: 0.000 0.000 0.000 (multiplicity 2)
Pd: 0.000 0.500 0.500 (multiplicity 2)